No. 1
Material: CdTcNi2H
Method: DFT, PBE
State: relaxed

Calculated values
* DFT total energy: -4.741 eV per atom
* calculated volume: 59.3 Å³/f.u.
* mass density: 9.20 g/cm³

Geometry as POSCAR:
```
CdTcNi2H
1.0
3.788 0.000 0.000
0.000 4.135 0.000
0.000 0.000 3.788
Ni Tc H Cd
2 1 1 1
direct
0.000 0.000 0.500
0.500 0.000 0.000
0.500 0.500 0.500
0.000 0.000 0.000
0.000 0.500 0.000
```

No. 2
Material: Fe2SbWI
Method: DFT, PBE
State: relaxed

Calculated values
* DFT total energy: -5.399 eV per atom
* formation energy (no corrections): 8.56 eV/f.u.
* calculated volume: 121.6 Å³/f.u.
* mass density: 7.43 g/cm³

Geometry as POSCAR:
```
Fe2SbWI
1.0
-4.170 0.101 -2.442
1.275 -4.461 -2.361
-2.139 -2.489 3.548
I Sb Fe W
1 1 2 1
direct
0.500 0.500 0.500
0.000 0.000 0.000
0.000 0.000 0.500
0.500 0.000 0.000
0.000 0.500 0.000
```

No. 3
Material: SnGe2I
Method: DFT, PBE
State: relaxed

Calculated values
* DFT total energy: -3.284 eV per atom
* formation energy (no corrections): 1.65 eV/f.u.
* calculated volume: 101.4 Å³/f.u.
* mass density: 6.40 g/cm³
* offset from the most stable computed form: 0.0000 eV/atom

Geometry as POSCAR:
```
SnGe2I
1.0
0.000 3.701 3.701
3.701 0.000 3.701
3.701 3.701 0.000
I Ge Sn
1 2 1
direct
0.500 0.500 0.500
0.250 0.250 0.250
0.750 0.750 0.750
0.000 0.000 0.000
```

No. 4
Material: KNb3Pt
Method: DFT, PBE
State: relaxed

Calculated values
* DFT total energy: -5.014 eV per atom
* calculated volume: 94.6 Å³/f.u.
* mass density: 9.01 g/cm³
* offset from the most stable computed form: 1.2420 eV/atom

Geometry as POSCAR:
```
KNb3Pt
1.0
4.556 0.000 0.000
0.000 4.556 0.000
0.000 0.000 4.556
Nb K Pt
3 1 1
direct
0.000 0.500 0.000
0.000 0.000 0.500
0.500 0.000 0.000
0.000 0.000 0.000
0.500 0.500 0.500
```

No. 5
Material: Cu2SnSb2
Method: DFT, PBE
State: relaxed

Calculated values
* DFT total energy: -3.844 eV per atom
* formation energy (no corrections): 1.22 eV/f.u.
* calculated volume: 111.7 Å³/f.u.
* mass density: 7.27 g/cm³
* offset from the most stable computed form: 0.1268 eV/atom

Geometry as POSCAR:
```
Cu2SnSb2
1.0
4.388 0.000 0.000
0.000 4.388 0.000
2.194 2.194 5.804
Sb Sn Cu
2 1 2
direct
0.750 0.250 0.500
0.250 0.750 0.500
0.000 0.000 0.000
0.396 0.396 0.208
0.604 0.604 0.792
```

No. 6
Material: Na3B2PtO6
Method: DFT, PBE
State: relaxed

Calculated values
* DFT total energy: -6.068 eV per atom
* formation energy (no corrections): -19.72 eV/f.u.
* calculated volume: 145.2 Å³/f.u.
* mass density: 4.36 g/cm³

Geometry as POSCAR:
```
Na3B2PtO6
1.0
5.165 0.000 0.000
-2.582 4.473 0.000
0.000 0.000 6.287
Na B Pt O
3 2 1 6
direct
0.333 0.667 0.751
0.667 0.333 0.249
0.000 0.000 0.000
0.667 0.333 0.714
0.333 0.667 0.286
0.000 0.000 0.500
0.643 0.822 0.273
0.178 0.357 0.273
0.178 0.822 0.273
0.822 0.643 0.727
0.357 0.178 0.727
0.822 0.178 0.727
```

No. 7
Material: CdSb2Ir
Method: DFT, PBE
State: relaxed

Calculated values
* DFT total energy: -4.325 eV per atom
* formation energy (no corrections): 0.72 eV/f.u.
* calculated volume: 122.7 Å³/f.u.
* mass density: 7.42 g/cm³
* offset from the most stable computed form: 0.2415 eV/atom

Geometry as POSCAR:
```
CdSb2Ir
1.0
-3.737 -5.014 -0.776
-0.308 -0.738 6.251
-6.989 0.796 2.926
Sb Ir Cd
4 2 2
direct
0.673 0.125 0.250
0.077 0.625 0.250
0.375 0.327 0.750
0.875 0.923 0.750
0.000 0.000 0.000
0.750 0.250 0.500
0.500 0.500 0.000
0.250 0.750 0.500
```

No. 8
Material: BaSb2TeI
Method: DFT, PBE
State: relaxed

Calculated values
* DFT total energy: -2.851 eV per atom
* formation energy (no corrections): 0.60 eV/f.u.
* calculated volume: 204.3 Å³/f.u.
* mass density: 5.16 g/cm³
* offset from the most stable computed form: 0.2607 eV/atom

Geometry as POSCAR:
```
BaSb2TeI
1.0
5.854 0.000 0.000
0.000 5.854 0.000
0.000 0.000 5.960
I Sb Te Ba
1 2 1 1
direct
0.000 0.000 0.000
0.000 0.500 0.000
0.500 0.000 0.000
0.000 0.000 0.500
0.500 0.500 0.500
```